Entry from Alexandria via LeMat-Bulk: a relaxed PmMg2Cd crystal (GGA-PBE).

Computed properties:
ρ (g/cm³): 5.29
Uncorrected energy (eV for the cell shown): -9.55
Formation energy from the elements (eV per atom): -0.1732
Space-group type: Fm-3m

Cell: 5.1398 5.1398 5.1398 Å, 60.00 60.00 60.00°
Last column: nearest neighbours and their distance in Å.
Positions (direct):
Mg 0.2500 0.2500 0.2500  4 Cd 3.15, 4 Pm 3.15
Mg 0.7500 0.7500 0.7500  4 Cd 3.15, 4 Pm 3.15
Cd 0.5000 0.5000 0.5000  8 Mg 3.15
Pm 0.0000 0.0000 0.0000  8 Mg 3.15